Record 1
First-principles (PBE-GGA) data for Mo5Pt after structural relaxation, as listed in the Alexandria database.

Summary:
Energy above the most stable polymorph in this dataset = 83.6 meV/atom
Formation energy from the elements = 0.106 eV/atom

Lattice parameters (Å, degrees): 2.673 2.673 13.429 90.00 90.00 90.00
Positions (direct):
Mo 0.000 0.000 0.000
Mo 0.000 0.000 0.343
Mo 0.000 0.000 0.657
Mo 0.500 0.500 0.172
Mo 0.500 0.500 0.828
Pt 0.500 0.500 0.500



Record 2
First-principles (PBE-GGA) data for KBW3 after structural relaxation, as listed in the Alexandria database.

Summary:
Energy above the most stable polymorph in this dataset = 0.0 meV/atom
Formation energy from the elements = 1.448 eV/atom

Lattice parameters (Å, degrees): 4.399 4.399 4.399 90.00 90.00 90.00
Positions (direct):
K 0.000 0.000 0.000
B 0.500 0.500 0.500
W 0.000 0.500 0.500
W 0.500 0.000 0.500
W 0.500 0.500 0.000



Among the records above, which one has the highest formation energy from the elements?
KBW3



Which value of formation energy from the elements does entry 2 give?
1.448 eV/atom



Which of these has the highest energy above the most stable polymorph in this dataset?
Mo5Pt